A PBEsol-optimized structure of TlTcN2F, computed with SCAN.

a b c (Å): 4.2134 4.2134 4.2750
angles (deg): 90.00 90.00 90.00
Element x y z (fractional)
1 Tl 0.0000 0.0000 0.0000
2 Tc 0.5000 0.5000 0.5000
3 N 0.0000 0.5000 0.0000
4 N 0.5000 0.0000 0.0000
5 F 0.0000 0.0000 0.5000

Summary:
For the uncorrected formation energy, the calculation gives 7.3 eV per formula unit. The value obtained for the mass density is 7.6 g/cm3.